(1)
The following is a DFT calculation (PBE-GGA) of SrTb2Sn9 after structural relaxation.

Magnetic moment, μB/f.u.: 0.00
Crystal system: tetragonal
Energy of formation from the pure elements, kJ/mol of formula units: -496

abc: 4.8315 4.8315 13.9358
angles: 90.00 90.00 90.00
Fractional positions:
Sr1 0.0000 0.0000 0.0000
Tb1 0.0000 0.0000 0.3380
Tb2 0.0000 0.0000 0.6620
Sn1 0.5000 0.5000 0.0000
Sn2 0.5000 0.5000 0.3365
Sn3 0.5000 0.5000 0.6635
Sn4 0.5000 0.0000 0.1740
Sn5 0.5000 0.0000 0.5000
Sn6 0.5000 0.0000 0.8260
Sn7 0.0000 0.5000 0.1740
Sn8 0.0000 0.5000 0.5000
Sn9 0.0000 0.5000 0.8260



(2)
The following is a DFT calculation (PBE-GGA) of SrTbSn after structural relaxation.

Magnetic moment, μB/f.u.: 0.00
Crystal system: orthorhombic
Energy of formation from the pure elements, kJ/mol of formula units: -102

abc: 5.1842 3.6652 15.0488
angles: 90.00 90.00 135.01
Fractional positions:
Sn1 0.6954 0.3909 0.0000
Sn2 0.1935 0.3870 0.5000
Tb1 0.6936 0.3872 0.3689
Tb2 0.6936 0.3872 0.6311
Sr1 0.1952 0.3904 0.8447
Sr2 0.1952 0.3904 0.1553



(3)
The following is a DFT calculation (PBE-GGA) of Sr3TbSn12 after structural relaxation.

Magnetic moment, μB/f.u.: 0.00
Crystal system: tetragonal
Energy of formation from the pure elements, kJ/mol of formula units: -624

abc: 4.8142 4.8142 19.4003
angles: 90.00 90.00 90.00
Fractional positions:
Sr1 0.0000 0.0000 0.2458
Sr2 0.0000 0.0000 0.5000
Sr3 0.0000 0.0000 0.7542
Tb1 0.0000 0.0000 0.0000
Sn1 0.5000 0.5000 0.0000
Sn2 0.5000 0.5000 0.2474
Sn3 0.5000 0.5000 0.5000
Sn4 0.5000 0.5000 0.7526
Sn5 0.5000 0.0000 0.1197
Sn6 0.5000 0.0000 0.3737
Sn7 0.5000 0.0000 0.6263
Sn8 0.5000 0.0000 0.8803
Sn9 0.0000 0.5000 0.1197
Sn10 0.0000 0.5000 0.3737
Sn11 0.0000 0.5000 0.6263
Sn12 0.0000 0.5000 0.8803



(4)
The following is a DFT calculation (PBE-GGA) of SrTbSn2 after structural relaxation.

Magnetic moment, μB/f.u.: 0.00
Crystal system: tetragonal
Energy of formation from the pure elements, kJ/mol of formula units: -232

abc: 4.0638 4.0638 7.3752
angles: 90.00 90.00 90.00
Fractional positions:
Sr1 0.5000 0.5000 0.5000
Tb1 0.5000 0.5000 0.0000
Sn1 0.0000 0.0000 0.7882
Sn2 0.0000 0.0000 0.2118



(5)
The following is a DFT calculation (PBE-GGA) of SrTbTlSn after structural relaxation.

Magnetic moment, μB/f.u.: 0.00
Crystal system: cubic
Energy of formation from the pure elements, kJ/mol of formula units: -168

abc: 5.5541 5.5541 5.5541
angles: 60.00 60.00 60.00
Fractional positions:
Sr1 0.5000 0.5000 0.5000
Tl1 0.7500 0.7500 0.7500
Tb1 0.0000 0.0000 0.0000
Sn1 0.2500 0.2500 0.2500



(6)
The following is a DFT calculation (PBE-GGA) of SrTbZnSn after structural relaxation.

Magnetic moment, μB/f.u.: 0.00
Crystal system: cubic
Energy of formation from the pure elements, kJ/mol of formula units: -156

abc: 5.4076 5.4076 5.4076
angles: 60.00 60.00 60.00
Fractional positions:
Sr1 0.5000 0.5000 0.5000
Zn1 0.7500 0.7500 0.7500
Tb1 0.0000 0.0000 0.0000
Sn1 0.2500 0.2500 0.2500



(7)
The following is a DFT calculation (PBE-GGA) of SrTc4Sn12 after structural relaxation.

Magnetic moment, μB/f.u.: 0.00
Crystal system: cubic
Energy of formation from the pure elements, kJ/mol of formula units: 285

abc: 8.4387 8.4387 8.4387
angles: 109.47 109.47 109.47
Fractional positions:
Sr1 0.0000 0.0000 0.0000
Tc1 0.0000 0.5000 0.0000
Tc2 0.5000 0.0000 0.0000
Tc3 0.5000 0.5000 0.5000
Tc4 0.0000 0.0000 0.5000
Sn1 0.8218 0.3256 0.1474
Sn2 0.3256 0.5038 0.1782
Sn3 0.8526 0.1782 0.6744
Sn4 0.3256 0.1474 0.8218
Sn5 0.1474 0.8218 0.3256
Sn6 0.6744 0.4962 0.8218
Sn7 0.5038 0.1782 0.3256
Sn8 0.4962 0.8218 0.6744
Sn9 0.6744 0.8526 0.1782
Sn10 0.8218 0.6744 0.4962
Sn11 0.1782 0.3256 0.5038
Sn12 0.1782 0.6744 0.8526



(8)
The following is a DFT calculation (PBE-GGA) of Sr2Tc2Sn after structural relaxation.

Magnetic moment, μB/f.u.: 0.00
Crystal system: tetragonal
Energy of formation from the pure elements, kJ/mol of formula units: 91

abc: 7.0445 7.0445 5.1508
angles: 90.00 90.00 90.00
Fractional positions:
Sr1 0.1776 0.6776 0.5000
Sr2 0.6776 0.8224 0.5000
Sr3 0.8224 0.3224 0.5000
Sr4 0.3224 0.1776 0.5000
Sn1 0.0000 0.0000 0.0000
Sn2 0.5000 0.5000 0.0000
Tc1 0.3866 0.8866 0.0000
Tc2 0.8866 0.6134 0.0000
Tc3 0.6134 0.1134 0.0000
Tc4 0.1134 0.3866 0.0000



(9)
The following is a DFT calculation (PBE-GGA) of Sr2TcSn after structural relaxation.

Magnetic moment, μB/f.u.: 0.85
Crystal system: tetragonal
Energy of formation from the pure elements, kJ/mol of formula units: 134

abc: 11.0836 11.0836 8.2605
angles: 47.86 47.86 90.00
Fractional positions:
Sr1 0.4535 0.1250 0.2500
Sr2 0.2965 0.6250 0.2500
Sr3 0.3750 0.5465 0.7500
Sr4 0.8750 0.7035 0.7500
Sn1 0.0000 0.0000 0.0000
Sn2 0.7500 0.2500 0.5000
Tc1 0.5000 0.5000 0.0000
Tc2 0.2500 0.7500 0.5000



(10)
The following is a DFT calculation (PBE-GGA) of SrTc2Sn2 after structural relaxation.

Magnetic moment, μB/f.u.: 2.24
Crystal system: tetragonal
Energy of formation from the pure elements, kJ/mol of formula units: 21

abc: 4.3412 4.3412 6.9153
angles: 71.71 71.71 90.00
Fractional positions:
Sr1 0.0000 0.0000 0.0000
Sn1 0.3791 0.3791 0.2417
Sn2 0.6209 0.6209 0.7583
Tc1 0.7500 0.2500 0.5000
Tc2 0.2500 0.7500 0.5000



(11)
The following is a DFT calculation (PBE-GGA) of SrTc3Sn after structural relaxation.

Magnetic moment, μB/f.u.: 6.19
Crystal system: cubic
Energy of formation from the pure elements, kJ/mol of formula units: 1275

abc: 4.9195 4.9195 4.9195
angles: 90.00 90.00 90.00
Fractional positions:
Sr1 0.0000 0.0000 0.0000
Sn1 0.5000 0.5000 0.5000
Tc1 0.0000 0.5000 0.0000
Tc2 0.0000 0.0000 0.5000
Tc3 0.5000 0.0000 0.0000



(12)
The following is a DFT calculation (PBE-GGA) of SrTc2Sn2 after structural relaxation.

Magnetic moment, μB/f.u.: 0.00
Crystal system: tetragonal
Energy of formation from the pure elements, kJ/mol of formula units: -13

abc: 4.8710 4.8710 6.0453
angles: 66.24 66.24 90.00
Fractional positions:
Sr1 0.0000 0.0000 0.0000
Sn1 0.7500 0.2500 0.5000
Sn2 0.2500 0.7500 0.5000
Tc1 0.3886 0.3886 0.2227
Tc2 0.6114 0.6114 0.7773



(13)
The following is a DFT calculation (PBE-GGA) of SrTc2Sn2 after structural relaxation.

Magnetic moment, μB/f.u.: 0.00
Crystal system: tetragonal
Energy of formation from the pure elements, kJ/mol of formula units: 67

abc: 8.0828 8.0828 3.1515
angles: 90.00 90.00 90.00
Fractional positions:
Sr1 0.0000 0.0000 0.0000
Sr2 0.5000 0.5000 0.0000
Sn1 0.1555 0.6555 0.5000
Sn2 0.6555 0.8445 0.5000
Sn3 0.8445 0.3445 0.5000
Sn4 0.3445 0.1555 0.5000
Tc1 0.3664 0.8664 0.0000
Tc2 0.8664 0.6336 0.0000
Tc3 0.6336 0.1336 0.0000
Tc4 0.1336 0.3664 0.0000



(14)
The following is a DFT calculation (PBE-GGA) of SrTc3Sn after structural relaxation.

Magnetic moment, μB/f.u.: 6.05
Crystal system: cubic
Energy of formation from the pure elements, kJ/mol of formula units: 732

abc: 5.0371 5.0371 5.0371
angles: 90.00 90.00 90.00
Fractional positions:
Sr1 0.5000 0.5000 0.5000
Sn1 0.0000 0.0000 0.0000
Tc1 0.0000 0.5000 0.0000
Tc2 0.0000 0.0000 0.5000
Tc3 0.5000 0.0000 0.0000



(15)
The following is a DFT calculation (PBE-GGA) of Sr3TcSn after structural relaxation.

Magnetic moment, μB/f.u.: 1.51
Crystal system: cubic
Energy of formation from the pure elements, kJ/mol of formula units: 227

abc: 5.6327 5.6327 5.6327
angles: 90.00 90.00 90.00
Fractional positions:
Sr1 0.0000 0.5000 0.0000
Sr2 0.0000 0.0000 0.5000
Sr3 0.5000 0.0000 0.0000
Sn1 0.5000 0.5000 0.5000
Tc1 0.0000 0.0000 0.0000



(16)
The following is a DFT calculation (PBE-GGA) of Sr2Tc2Sn after structural relaxation.

Magnetic moment, μB/f.u.: 3.80
Crystal system: tetragonal
Energy of formation from the pure elements, kJ/mol of formula units: 517

abc: 4.8452 4.8452 7.2115
angles: 70.37 70.37 90.00
Fractional positions:
Sr1 0.7500 0.2500 0.5000
Sr2 0.2500 0.7500 0.5000
Sn1 0.0000 0.0000 0.0000
Tc1 0.4162 0.4162 0.1677
Tc2 0.5838 0.5838 0.8323



(17)
The following is a DFT calculation (PBE-GGA) of Sr2TlTcSn after structural relaxation.

Magnetic moment, μB/f.u.: 3.84
Crystal system: tetragonal
Energy of formation from the pure elements, kJ/mol of formula units: 487

abc: 6.2396 5.4447 6.2396
angles: 90.00 90.00 90.00
Fractional positions:
Sr1 0.0000 0.0000 0.5000
Sr2 0.5000 0.0000 0.0000
Tl1 0.0000 0.0000 0.0000
Sn1 0.0000 0.5000 0.0000
Tc1 0.5000 0.5000 0.5000



(18)
The following is a DFT calculation (PBE-GGA) of SrSnTe2 after structural relaxation.

Magnetic moment, μB/f.u.: 0.00
Energy relative to the elements, uncorrected, eV per atom: -0.916
Crystal system: trigonal

abc: 4.5797 4.5797 8.3619
angles: 74.11 74.11 60.00
Fractional positions:
Sr1 0.4992 0.4992 0.5024
Sn1 0.6672 0.6672 0.9984
Te1 0.0789 0.0789 0.7634
Te2 0.2547 0.2547 0.2358



(19)
The following is a DFT calculation (PBE-GGA) of SrSn4Te5 after structural relaxation.

Magnetic moment, μB/f.u.: 0.00
Energy relative to the elements, uncorrected, eV per atom: -0.559
Crystal system: orthorhombic

abc: 4.5720 6.4669 12.1603
angles: 105.42 100.84 90.00
Fractional positions:
Sr1 0.0000 0.0000 0.0000
Sn1 0.3991 0.3991 0.7983
Sn2 0.7973 0.7973 0.5946
Sn3 0.2027 0.2027 0.4054
Sn4 0.6009 0.6009 0.2017
Te1 0.6052 0.1052 0.2103
Te2 0.8011 0.3011 0.6023
Te3 0.1989 0.6989 0.3977
Te4 0.0000 0.5000 0.0000
Te5 0.3948 0.8948 0.7897



(20)
The following is a DFT calculation (PBE-GGA) of Sr2SnTe2 after structural relaxation.

Magnetic moment, μB/f.u.: 0.00
Energy relative to the elements, uncorrected, eV per atom: -1.072
Crystal system: tetragonal

abc: 8.9435 8.9435 4.3258
angles: 90.00 90.00 90.00
Fractional positions:
Sr1 0.1553 0.6553 0.5000
Sr2 0.6553 0.8447 0.5000
Sr3 0.8447 0.3447 0.5000
Sr4 0.3447 0.1553 0.5000
Te1 0.3479 0.8479 0.0000
Te2 0.8479 0.6521 0.0000
Te3 0.6521 0.1521 0.0000
Te4 0.1521 0.3479 0.0000
Sn1 0.0000 0.0000 0.0000
Sn2 0.5000 0.5000 0.0000